The following is a DFT calculation (PBE) of TbTh4Se5 after structural relaxation.

Output
- formation energy (no corrections) (eV per atom) = -1.579
- energy (eV/atom) = -6.752
- SG = I4/m (87)

Unit cell a=5.914 b=7.249 c=7.249 alpha=80.42 beta=65.92 gamma=65.92
Fractional positions:
Tb  0.002  0.000  0.000
Th  0.405  0.401  0.791
Th  0.195  0.209  0.401
Th  0.806  0.791  0.599
Th  0.597  0.599  0.209
Se  0.501  0.000  0.000
Se  0.291  0.811  0.608
Se  0.899  0.392  0.811
Se  0.711  0.189  0.392
Se  0.103  0.608  0.189